A plane-wave DFT calculation with GGA-PBE was carried out for an optimized crystal structure of BaZr.

Calculated values
For the final energy, the calculation gives -4.797 eV per atom. Its space-group type is Amm2 (38).

a b c (Å): 5.4258 11.6121 11.6121
angles (deg): 148.23 90.00 90.00
Sites, in units of the cell vectors:
Ba (0.0000, 0.0000, 0.0000)
Ba (0.0000, 0.3071, 0.9526)
Ba (0.0000, 0.9526, 0.3071)
Ba (0.5000, 0.4872, 0.8246)
Ba (0.5000, 0.8246, 0.4872)
Zr (0.0000, 0.4570, 0.5901)
Zr (0.0000, 0.5901, 0.4570)
Zr (0.5000, 0.1857, 0.3165)
Zr (0.5000, 0.3165, 0.1857)
Zr (0.5000, 0.6780, 0.6780)